# 1
A plane-wave DFT calculation with PBE with a Hubbard U was carried out for a relaxed Sc3Co5O12 crystal. Values from VASP.

Output
ρ, g/cm³: 4.89
Symmetry: No. 230
Electronic total energy, Ha/atom: -0.2586

Geometry as Quantum ESPRESSO input:
```
&SYSTEM
  ibrav = 0, nat = 80, ntyp = 3
/
ATOMIC_SPECIES
Sc 44.96 Sc.upf
Co 58.93 Co.upf
O 16.00 O.upf
CELL_PARAMETERS angstrom
10.314 0.000 0.000
-3.438 9.724 0.000
-3.438 -4.862 8.421
ATOMIC_POSITIONS crystal
Sc 0.750 0.375 0.125
Sc 0.875 0.750 0.125
Sc 0.375 0.750 0.625
Sc 0.250 0.125 0.375
Sc 0.875 0.125 0.250
Sc 0.375 0.625 0.250
Sc 0.625 0.375 0.750
Sc 0.125 0.875 0.750
Sc 0.750 0.875 0.625
Sc 0.625 0.250 0.375
Sc 0.125 0.250 0.875
Sc 0.250 0.625 0.875
Co 0.125 0.375 0.250
Co 0.000 0.500 0.000
Co 0.000 0.000 0.000
Co 0.375 0.250 0.125
Co 0.500 0.000 0.500
Co 0.500 0.500 0.000
Co 0.125 0.750 0.375
Co 0.750 0.125 0.875
Co 0.750 0.625 0.375
Co 0.375 0.125 0.750
Co 0.625 0.875 0.250
Co 0.500 0.500 0.500
Co 0.500 0.000 0.000
Co 0.000 0.000 0.500
Co 0.250 0.375 0.625
Co 0.250 0.875 0.125
Co 0.000 0.500 0.500
Co 0.875 0.250 0.625
Co 0.625 0.750 0.875
Co 0.875 0.625 0.750
O 0.708 0.127 0.036
O 0.328 0.536 0.408
O 0.964 0.373 0.292
O 0.536 0.208 0.127
O 0.581 0.708 0.672
O 0.964 0.592 0.172
O 0.328 0.792 0.419
O 0.092 0.919 0.127
O 0.592 0.964 0.672
O 0.708 0.581 0.172
O 0.792 0.464 0.373
O 0.828 0.908 0.036
O 0.127 0.708 0.536
O 0.373 0.408 0.081
O 0.081 0.908 0.373
O 0.419 0.127 0.592
O 0.081 0.172 0.208
O 0.464 0.672 0.092
O 0.828 0.919 0.292
O 0.127 0.419 0.092
O 0.373 0.964 0.792
O 0.592 0.627 0.419
O 0.908 0.828 0.536
O 0.792 0.328 0.919
O 0.408 0.373 0.581
O 0.092 0.172 0.464
O 0.208 0.672 0.081
O 0.172 0.081 0.708
O 0.627 0.036 0.208
O 0.873 0.581 0.908
O 0.536 0.328 0.908
O 0.581 0.873 0.408
O 0.919 0.828 0.792
O 0.919 0.092 0.627
O 0.873 0.292 0.464
O 0.172 0.092 0.964
O 0.627 0.592 0.919
O 0.408 0.036 0.328
O 0.292 0.419 0.828
O 0.208 0.536 0.627
O 0.908 0.081 0.873
O 0.672 0.208 0.581
O 0.464 0.792 0.873
O 0.036 0.408 0.828
O 0.419 0.292 0.328
O 0.036 0.627 0.708
O 0.672 0.464 0.592
O 0.292 0.873 0.964
```

---

# 2
A plane-wave DFT calculation with PBE with a Hubbard U was carried out for a relaxed ScCo3O crystal. Values from VASP.

Output
ρ, g/cm³: 6.41
Density of states at the Fermi level, states/eV/atom: 0.23
Symmetry: No. 221
Electronic total energy, Ha/atom: -0.1914

Geometry as Quantum ESPRESSO input:
```
&SYSTEM
  ibrav = 0, nat = 5, ntyp = 3
/
ATOMIC_SPECIES
Sc 44.96 Sc.upf
Co 58.93 Co.upf
O 16.00 O.upf
CELL_PARAMETERS angstrom
3.950 0.000 0.000
0.000 3.950 0.000
0.000 0.000 3.950
ATOMIC_POSITIONS crystal
Sc 0.500 0.500 0.500
Co 0.000 0.500 0.000
Co 0.000 0.000 0.500
Co 0.500 0.000 0.000
O 0.000 0.000 0.000
```

---

# 3
A plane-wave DFT calculation with PBE with a Hubbard U was carried out for a relaxed Sc2CoO crystal. Values from VASP.

Output
ρ, g/cm³: 4.24
Density of states at the Fermi level, states/eV/atom: 0.87
Symmetry: No. 122
Electronic total energy, Ha/atom: -0.2468

Geometry as Quantum ESPRESSO input:
```
&SYSTEM
  ibrav = 0, nat = 8, ntyp = 3
/
ATOMIC_SPECIES
Sc 44.96 Sc.upf
Co 58.93 Co.upf
O 16.00 O.upf
CELL_PARAMETERS angstrom
5.805 0.000 0.000
0.000 5.805 0.000
2.902 2.902 3.829
ATOMIC_POSITIONS crystal
Sc 0.570 0.125 0.250
Sc 0.180 0.625 0.250
Sc 0.375 0.430 0.750
Sc 0.875 0.820 0.750
Co 0.000 0.000 0.000
Co 0.750 0.250 0.500
O 0.500 0.500 0.000
O 0.250 0.750 0.500
```

---

# 4
A plane-wave DFT calculation with PBE with a Hubbard U was carried out for a relaxed Sc6CoO12 crystal. Values from VASP.

Output
ρ, g/cm³: 4.08
Density of states at the Fermi level, states/eV/atom: 0.53
Symmetry: No. 148
Electronic total energy, Ha/atom: -0.3012

Geometry as Quantum ESPRESSO input:
```
&SYSTEM
  ibrav = 0, nat = 19, ntyp = 3
/
ATOMIC_SPECIES
Sc 44.96 Sc.upf
Co 58.93 Co.upf
O 16.00 O.upf
CELL_PARAMETERS angstrom
-2.642 -2.734 -4.691
5.647 -1.946 -0.891
-1.615 -3.887 4.329
ATOMIC_POSITIONS crystal
Sc 0.140 0.306 0.614
Sc 0.694 0.386 0.860
Sc 0.386 0.860 0.694
Sc 0.860 0.694 0.386
Sc 0.306 0.614 0.140
Sc 0.614 0.140 0.306
Co 0.000 0.000 0.000
O 0.432 0.178 0.588
O 0.178 0.588 0.432
O 0.588 0.432 0.178
O 0.568 0.822 0.412
O 0.822 0.412 0.568
O 0.412 0.568 0.822
O 0.040 0.933 0.694
O 0.306 0.960 0.067
O 0.067 0.306 0.960
O 0.960 0.067 0.306
O 0.694 0.040 0.933
O 0.933 0.694 0.040
```

---

# 5
A plane-wave DFT calculation with PBE with a Hubbard U was carried out for a relaxed Sm2ScCoO6 crystal. Values from VASP.

Output
ρ, g/cm³: 7.02
Density of states at the Fermi level, states/eV/atom: 0.00
Symmetry: No. 14
Electronic total energy, Ha/atom: -0.2905

Geometry as Quantum ESPRESSO input:
```
&SYSTEM
  ibrav = 0, nat = 20, ntyp = 4
/
ATOMIC_SPECIES
Sm 150.36 Sm.upf
Sc 44.96 Sc.upf
Co 58.93 Co.upf
O 16.00 O.upf
CELL_PARAMETERS angstrom
-0.785 -3.413 4.136
3.368 -3.772 -2.473
6.108 3.001 3.741
ATOMIC_POSITIONS crystal
Sm 0.016 0.941 0.251
Sm 0.516 0.559 0.751
Sm 0.984 0.059 0.749
Sm 0.484 0.441 0.249
Sc 0.500 0.000 0.500
Sc 0.000 0.500 0.000
Co 0.500 0.000 0.000
Co 0.000 0.500 0.500
O 0.308 0.712 0.051
O 0.808 0.788 0.551
O 0.692 0.288 0.949
O 0.192 0.212 0.449
O 0.289 0.696 0.450
O 0.789 0.804 0.950
O 0.711 0.304 0.550
O 0.211 0.196 0.050
O 0.904 0.529 0.260
O 0.404 0.971 0.760
O 0.096 0.471 0.740
O 0.596 0.029 0.240
```

---

# 6
A plane-wave DFT calculation with PBE with a Hubbard U was carried out for a relaxed Sc2CoSnO6 crystal. Values from VASP.

Output
ρ, g/cm³: 5.07
Density of states at the Fermi level, states/eV/atom: 0.00
Symmetry: No. 146
Electronic total energy, Ha/atom: -0.2786

Geometry as Quantum ESPRESSO input:
```
&SYSTEM
  ibrav = 0, nat = 10, ntyp = 4
/
ATOMIC_SPECIES
Sc 44.96 Sc.upf
Co 58.93 Co.upf
Sn 118.71 Sn.upf
O 16.00 O.upf
CELL_PARAMETERS angstrom
-3.646 -2.500 -3.015
1.215 -1.469 -5.001
0.754 -5.564 -1.047
ATOMIC_POSITIONS crystal
Sc 0.521 0.521 0.436
Sc 0.023 0.022 0.933
Co 0.808 0.808 0.575
Sn 0.313 0.313 0.060
O 0.610 0.219 0.250
O 0.219 0.922 0.250
O 0.922 0.610 0.250
O 0.413 0.714 0.754
O 0.714 0.119 0.754
O 0.119 0.413 0.754
```

---

# 7
A plane-wave DFT calculation with PBE with a Hubbard U was carried out for a relaxed Sr2ScCoO5 crystal. Values from VASP.

Output
ρ, g/cm³: 4.77
Symmetry: No. 36
Electronic total energy, Ha/atom: -0.2530

Geometry as Quantum ESPRESSO input:
```
&SYSTEM
  ibrav = 0, nat = 18, ntyp = 4
/
ATOMIC_SPECIES
Sr 87.62 Sr.upf
Sc 44.96 Sc.upf
Co 58.93 Co.upf
O 16.00 O.upf
CELL_PARAMETERS angstrom
3.346 0.000 0.000
-1.673 7.115 0.000
0.000 0.000 10.511
ATOMIC_POSITIONS crystal
Sr 0.860 0.721 0.814
Sr 0.111 0.222 0.676
Sr 0.140 0.279 0.314
Sr 0.889 0.778 0.176
Sc 0.791 0.582 0.523
Sc 0.209 0.418 0.023
Co 0.545 0.089 0.944
Co 0.455 0.911 0.444
O 0.350 0.699 0.001
O 0.680 0.360 0.889
O 0.497 0.994 0.788
O 0.288 0.576 0.653
O 0.951 0.901 0.535
O 0.650 0.301 0.501
O 0.320 0.640 0.389
O 0.503 0.006 0.288
O 0.712 0.424 0.153
O 0.049 0.099 0.035
```

---

# 8
A plane-wave DFT calculation with PBE with a Hubbard U was carried out for a relaxed ScCoTe2O crystal. Values from VASP.

Output
ρ, g/cm³: 5.83
Density of states at the Fermi level, states/eV/atom: 0.38
Symmetry: No. 123
Electronic total energy, Ha/atom: -0.1818

Geometry as Quantum ESPRESSO input:
```
&SYSTEM
  ibrav = 0, nat = 5, ntyp = 4
/
ATOMIC_SPECIES
Sc 44.96 Sc.upf
Te 127.60 Te.upf
Co 58.93 Co.upf
O 16.00 O.upf
CELL_PARAMETERS angstrom
-4.648 -0.658 2.201
1.018 -3.697 1.045
1.874 1.786 4.492
ATOMIC_POSITIONS crystal
Sc 0.000 0.500 0.000
Te 0.000 0.000 0.500
Te 0.500 0.000 0.000
Co 0.500 0.500 0.500
O 0.000 0.000 0.000
```

---

Q: The lowest electronic total energy belongs to which entry?
A: Sc6CoO12

---

Q: Which value of electronic total energy does entry 2 give?
A: -0.1914 Ha/atom